Entry 1:
Entry from Alexandria: a relaxed AcSn2Pt crystal (GGA-PBE).

Structure (extended XYZ):
```
4
Lattice="5.0734 0.0000 0.0000 0.0000 4.5569 0.0000 0.0000 0.0000 4.5569" Properties=species:S:1:pos:R:3 pbc="T T T"
Ac 2.5367 0.0000 0.0000
Sn 0.0000 0.0000 2.2784
Sn 0.0000 2.2784 0.0000
Pt 2.5367 2.2784 2.2784
```

Calculated values
Energy of formation in eV/atom: -0.51
SG: P4/mmm (123)



Entry 2:
Entry from Alexandria: a relaxed AcSn3Pt2 crystal (GGA-PBE).

Structure (extended XYZ):
```
18
Lattice="-2.4753 2.1720 3.0588 1.7394 -8.2216 3.9436 8.7898 6.4326 2.5454" Properties=species:S:1:pos:R:3 pbc="T T T"
Ac 6.3547 2.2704 3.5304
Ac 1.6992 -1.8873 6.0174
Ac 0.0000 0.0000 0.0000
Sn 3.0567 1.6709 1.2872
Sn 4.9972 -1.2878 8.2606
Sn 3.5769 -0.5927 3.3155
Sn 4.4770 0.9757 6.2323
Sn 0.6312 0.5655 3.4114
Sn 7.4227 -0.1825 6.1364
Sn 3.1572 4.3023 2.8021
Sn 0.7059 -4.3899 3.6885
Sn 7.3480 4.7730 5.8592
Pt 1.2802 -2.0020 2.4575
Pt 6.7738 2.3850 7.0902
Pt 2.2387 -5.4365 5.6720
Pt 5.8152 5.8195 3.8757
Pt 5.0989 -1.6028 5.2644
Pt 2.9550 1.9859 4.2833
```

Calculated values
Energy of formation in eV/atom: -0.70
SG: C2/m (12)



Entry 3:
Entry from Alexandria: a relaxed Ac3Sn3Pt2 crystal (GGA-PBE).

Structure (extended XYZ):
```
16
Lattice="4.8050 0.0000 0.0000 -2.4025 5.8122 0.0000 0.0000 0.0000 16.3238" Properties=species:S:1:pos:R:3 pbc="T T T"
Ac 2.4025 4.7759 6.3895
Ac 0.0000 1.0363 14.5514
Ac 2.4025 4.7759 1.7724
Ac 0.0000 1.0363 9.9342
Ac 2.4025 1.5160 4.0809
Ac 0.0000 4.2963 12.2428
Sn 2.4025 1.4982 7.5998
Sn 0.0000 4.3140 15.7616
Sn 2.4025 1.4982 0.5621
Sn 0.0000 4.3140 8.7240
Sn 0.0000 3.8648 4.0809
Sn 2.4025 1.9475 12.2428
Pt 2.4025 3.5733 14.5758
Pt 0.0000 2.2389 6.4139
Pt 2.4025 3.5733 9.9099
Pt 0.0000 2.2389 1.7480
```

Calculated values
Energy of formation in eV/atom: -0.91
SG: Cmcm (63)



Entry 4:
Entry from Alexandria: a relaxed Ac7Sn2Pt2 crystal (GGA-PBE).

Structure (extended XYZ):
```
11
Lattice="-2.6480 0.8618 -3.6954 -9.2076 -1.7341 3.2961 -5.2681 7.9637 2.7347" Properties=species:S:1:pos:R:3 pbc="T T T"
Ac -4.2776 3.0340 -2.0213
Ac -10.4855 6.7245 0.3902
Ac -6.5927 8.3931 0.8871
Ac -7.6899 1.9110 0.1619
Ac -10.2838 3.0881 2.2946
Ac -11.8633 6.4766 4.2166
Ac -4.9399 4.5476 1.7031
Sn -13.4473 4.5597 2.0077
Sn -4.3852 0.7870 0.4287
Pt -11.0115 1.2055 -0.5196
Pt -7.9821 4.9726 1.0852
```

Calculated values
Energy of formation in eV/atom: -0.66
SG: Imm2 (44)



Entry 5:
Entry from Alexandria: a relaxed Ac6Sn2Pt crystal (GGA-PBE).

Structure (extended XYZ):
```
18
Lattice="7.0734 0.0000 0.2213 0.0000 9.0176 0.0000 -0.5626 0.0000 10.9259" Properties=species:S:1:pos:R:3 pbc="T T T"
Ac 6.0666 8.7438 2.8320
Ac 5.8338 6.1562 6.2391
Ac 5.5826 6.0834 10.5065
Ac 4.1837 1.5746 6.2143
Ac 3.9324 1.6474 10.4818
Ac 4.2622 4.2350 2.9630
Ac 0.4442 0.2738 8.3152
Ac 0.6770 2.8614 4.9081
Ac 0.9283 2.9341 0.6407
Ac 2.3272 7.4429 4.9329
Ac 2.5784 7.3702 0.6655
Ac 2.2486 4.7826 8.1843
Sn 6.0986 3.4326 8.3838
Sn 3.6677 7.9413 8.3371
Sn 2.8432 1.0762 2.8102
Sn 0.4122 5.5850 2.7634
Pt 3.5367 4.5088 0.1107
Pt -0.2813 0.0000 5.4629
```

Calculated values
Energy of formation in eV/atom: -0.58
SG: P2_1/c (14)



Entry 6:
Entry from Alexandria: a relaxed AcSn2Pt crystal (GGA-PBE).

Structure (extended XYZ):
```
16
Lattice="-1.7516 3.5311 2.7644 -8.1352 -5.1073 1.3691 8.6219 -3.1112 5.2449" Properties=species:S:1:pos:R:3 pbc="T T T"
Ac -3.4339 -2.3883 5.0672
Ac -2.9728 0.4490 1.7351
Ac -6.9140 -2.0253 2.3984
Ac 2.1690 -2.2992 4.3112
Sn 2.2325 -1.5294 7.5605
Sn -0.7094 -0.5596 4.4576
Sn 1.8367 1.0389 4.0291
Sn -0.5555 -4.1279 4.9207
Sn 0.5975 -0.6334 1.1876
Sn -3.4974 -3.1581 1.8178
Sn -1.8624 -4.0541 8.1907
Sn -3.1016 -5.7264 5.3492
Pt -0.3119 -2.2270 6.8393
Pt -0.9530 -2.4605 2.5390
Pt -4.9756 -4.9859 3.2160
Pt 3.7107 0.2984 6.1624
```

Calculated values
Energy of formation in eV/atom: -0.84
SG: Immm (71)



Entry 7:
Entry from Alexandria: a relaxed AcSn2Pt crystal (GGA-PBE).

Structure (extended XYZ):
```
16
Lattice="-0.6316 -2.8077 3.8433 4.5488 -5.3641 -6.1704 8.4948 3.0417 3.6182" Properties=species:S:1:pos:R:3 pbc="T T T"
Ac 3.9316 0.1170 3.7307
Ac -0.3158 -1.4039 1.9216
Ac 3.5212 -3.3827 1.1065
Ac 8.8909 -1.7474 0.1845
Sn 7.1038 1.1099 1.9782
Sn 2.7349 -0.2167 0.2911
Sn 5.3083 -6.2400 -0.6872
Sn 9.6772 -4.9134 0.9999
Sn 6.0243 -2.8681 -1.1053
Sn 6.3877 -2.2620 2.3963
Sn 9.0531 -1.3076 3.5316
Sn 3.3589 -3.8225 -2.2406
Pt 6.9456 -4.6110 0.7720
Pt 1.3120 -2.0067 -1.2504
Pt 11.1001 -3.1234 2.5414
Pt 5.4664 -0.5191 0.5191
```

Calculated values
Energy of formation in eV/atom: -0.84
SG: Cmcm (63)



Entry 8:
Entry from Alexandria: a relaxed Ac12SnPt6 crystal (GGA-PBE).

Structure (extended XYZ):
```
19
Lattice="-1.4073 6.4528 -6.8300 -4.0235 -8.2249 -2.5360 -3.8968 3.0656 8.1047" Properties=species:S:1:pos:R:3 pbc="T T T"
Ac -4.1758 3.4316 4.2106
Ac -3.0906 -1.4655 -1.9172
Ac -6.2370 2.7590 0.6558
Ac -5.1518 -2.1381 -5.4720
Ac -4.7050 -4.9574 -0.4782
Ac -2.6095 2.6384 -1.2670
Ac -6.7181 -1.3448 0.0056
Ac -4.6226 6.2509 -0.7833
Ac -2.9230 3.1627 -5.3287
Ac -3.3986 0.0889 1.9538
Ac -5.9290 1.2046 -3.2152
Ac -6.4046 -1.8692 4.0673
Sn 0.0000 0.0000 0.0000
Pt -5.9095 0.9185 3.2528
Pt -3.4181 0.3750 -4.5142
Pt -5.6262 -2.7822 -2.6365
Pt -3.7014 4.0757 1.3751
Pt -4.6480 4.1079 -2.8049
Pt -4.6796 -2.8144 1.5435
```

Calculated values
Energy of formation in eV/atom: -0.81
SG: Im-3 (204)



Number 1: electronic total energy -5.051 eV/atom. Number 2: electronic total energy -5.404 eV/atom. Number 3: electronic total energy -5.466 eV/atom. Number 4: electronic total energy -5.104 eV/atom. Number 5: electronic total energy -4.878 eV/atom. Number 6: electronic total energy -5.382 eV/atom. Number 7: electronic total energy -5.384 eV/atom. Number 8: electronic total energy -5.519 eV/atom.